Entry 1:
First-principles (PBE) data for a relaxed LiNdH6Rh crystal, as listed in Alexandria.

Cell: 4.5624 4.5624 4.4157 Å, 90.00 90.00 120.00°
With the nearest neighbours (Å) after each atom.
Element x y z (fractional)
Li  0.0000  0.0000  0.0000  6 H 1.83
Nd  0.6667  0.3333  0.5000  12 H 2.51
H  0.1778  0.3556  0.2650  1 Rh 1.70, 1 Li 1.83
H  0.1778  0.3556  0.7350  1 Rh 1.70, 1 Li 1.83
H  0.1778  0.8222  0.2650  1 Rh 1.70, 1 Li 1.83
H  0.1778  0.8222  0.7350  1 Rh 1.70, 1 Li 1.83
H  0.6444  0.8222  0.2650  1 Rh 1.70, 1 Li 1.83
H  0.6444  0.8222  0.7350  1 Rh 1.70, 1 Li 1.83
Rh  0.3333  0.6667  0.0000  6 H 1.70

Crystal system   hexagonal
Symmetry   No. 187
Final energy   -4.21 eV/atom
Volume   8.8 Å³ per atom

=====

Entry 2:
First-principles (PBE) data for a relaxed LiNd2H6Rh crystal, as listed in Alexandria.

Cell: 5.1023 5.1023 4.7465 Å, 90.00 90.00 120.00°
With the nearest neighbours (Å) after each atom.
Element x y z (fractional)
Li  0.0000  0.0000  0.0000  6 H 1.92
Nd  0.3333  0.6667  0.2470  12 H 2.55-2.85
Nd  0.6667  0.3333  0.7530  12 H 2.55-2.85
H  0.1650  0.3301  0.7360  1 Rh 1.84, 1 Li 1.92
H  0.1650  0.8350  0.7360  1 Rh 1.84, 1 Li 1.92
H  0.3301  0.1650  0.2640  1 Rh 1.84, 1 Li 1.92
H  0.6699  0.8350  0.7360  1 Rh 1.84, 1 Li 1.92
H  0.8350  0.1650  0.2640  1 Rh 1.84, 1 Li 1.92
H  0.8350  0.6699  0.2640  1 Rh 1.84, 1 Li 1.92
Rh  0.0000  0.0000  0.5000  6 H 1.84

Crystal system   trigonal
Symmetry   No. 164
Final energy   -4.32 eV/atom
Volume   10.7 Å³ per atom

=====

Entry 3:
First-principles (PBE) data for a relaxed LiNd2H12Rh3 crystal, as listed in Alexandria.

Cell: 5.9331 5.9331 5.9331 Å, 64.14 64.14 64.14°
With the nearest neighbours (Å) after each atom.
Element x y z (fractional)
Li  0.0000  0.0000  0.0000  6 H 1.90
Nd  0.3792  0.3792  0.3792  3 H 2.28
Nd  0.6208  0.6208  0.6208  3 H 2.28
H  0.1148  0.1148  0.6259  1 Rh 1.67
H  0.1148  0.6259  0.1148  1 Rh 1.67
H  0.1386  0.6841  0.6841  2 Rh 1.74
H  0.3159  0.3159  0.8614  2 Rh 1.74
H  0.3159  0.8614  0.3159  2 Rh 1.74
H  0.3741  0.8852  0.8852  1 Rh 1.67
H  0.6259  0.1148  0.1148  1 Rh 1.67
H  0.6841  0.1386  0.6841  2 Rh 1.74
H  0.6841  0.6841  0.1386  2 Rh 1.74
H  0.8614  0.3159  0.3159  2 Rh 1.74
H  0.8852  0.3741  0.8852  1 Rh 1.67
H  0.8852  0.8852  0.3741  1 Rh 1.67
Rh  0.0000  0.0000  0.5000  6 H 1.67-1.74
Rh  0.0000  0.5000  0.0000  6 H 1.67-1.74
Rh  0.5000  0.0000  0.0000  6 H 1.67-1.74

Crystal system   trigonal
Symmetry   No. 166
Final energy   -4.43 eV/atom
Volume   9.0 Å³ per atom

=====

Entry 4:
First-principles (PBE) data for a relaxed LiNiH3 crystal, as listed in Alexandria.

Cell: 4.8789 4.8789 4.8789 Å, 54.68 54.68 54.68°
With the nearest neighbours (Å) after each atom.
Element x y z (fractional)
Li  0.1113  0.1113  0.1113  3 H 1.91
Li  0.8887  0.8887  0.8887  3 H 1.91
Ni  0.3310  0.3310  0.3310  6 H 1.62-1.65
Ni  0.6690  0.6690  0.6690  6 H 1.62-1.65
H  0.0742  0.4877  0.6604  2 Ni 1.62-1.65
H  0.3396  0.9258  0.5123  2 Ni 1.62-1.65
H  0.4877  0.6604  0.0742  2 Ni 1.62-1.65
H  0.5123  0.3396  0.9258  2 Ni 1.62-1.65
H  0.6604  0.0742  0.4877  2 Ni 1.62-1.65
H  0.9258  0.5123  0.3396  2 Ni 1.62-1.65

Crystal system   trigonal
Symmetry   No. 148
Final energy   -3.80 eV/atom
Volume   7.2 Å³ per atom

=====

Entry 5:
First-principles (PBE) data for a relaxed LiNiH3 crystal, as listed in Alexandria.

Cell: 5.8707 5.8707 5.8707 Å, 60.00 60.00 60.00°
With the nearest neighbours (Å) after each atom.
Element x y z (fractional)
Li  0.0000  0.0000  0.0000  6 H 1.99
Li  0.0000  0.0000  0.5000  6 H 1.99
Li  0.0000  0.5000  0.0000  6 H 1.99
Li  0.5000  0.0000  0.0000  6 H 1.99
Ni  0.0000  0.5000  0.5000  6 H 1.64
Ni  0.5000  0.0000  0.5000  6 H 1.64
Ni  0.5000  0.5000  0.0000  6 H 1.64
Ni  0.5000  0.5000  0.5000  6 H 1.64
H  0.1627  0.1627  0.5873  2 Ni 1.64
H  0.1627  0.5873  0.1627  2 Ni 1.64
H  0.1627  0.5873  0.5873  2 Ni 1.64
H  0.4127  0.4127  0.8373  2 Ni 1.64
H  0.4127  0.8373  0.4127  2 Ni 1.64
H  0.4127  0.8373  0.8373  2 Ni 1.64
H  0.5873  0.1627  0.1627  2 Ni 1.64
H  0.5873  0.1627  0.5873  2 Ni 1.64
H  0.5873  0.5873  0.1627  2 Ni 1.64
H  0.8373  0.4127  0.4127  2 Ni 1.64
H  0.8373  0.4127  0.8373  2 Ni 1.64
H  0.8373  0.8373  0.4127  2 Ni 1.64

Crystal system   cubic
Symmetry   No. 227
Final energy   -3.67 eV/atom
Volume   7.2 Å³ per atom

=====

Entry 6:
First-principles (PBE) data for a relaxed Li2NiH4 crystal, as listed in Alexandria.

Cell: 3.2860 3.2860 9.7388 Å, 90.00 90.00 90.00°
With the nearest neighbours (Å) after each atom.
Element x y z (fractional)
Li  0.0000  0.0000  0.1386  5 H 1.94-2.13
Li  0.0000  0.0000  0.8614  5 H 1.94-2.13
Li  0.5000  0.5000  0.3614  5 H 1.94-2.13
Li  0.5000  0.5000  0.6386  5 H 1.94-2.13
Ni  0.0000  0.0000  0.5000  6 H 1.58-1.64
Ni  0.5000  0.5000  0.0000  6 H 1.58-1.64
H  0.0000  0.0000  0.3374  1 Ni 1.58
H  0.0000  0.0000  0.6626  1 Ni 1.58
H  0.0000  0.5000  0.0000  2 Ni 1.64
H  0.0000  0.5000  0.5000  2 Ni 1.64
H  0.5000  0.0000  0.0000  2 Ni 1.64
H  0.5000  0.0000  0.5000  2 Ni 1.64
H  0.5000  0.5000  0.1626  1 Ni 1.58
H  0.5000  0.5000  0.8374  1 Ni 1.58

Crystal system   tetragonal
Offset from the most stable computed form   0 meV per atom
Symmetry   No. 139
Final energy   -3.60 eV/atom
Volume   7.5 Å³ per atom

=====

Entry 7:
First-principles (PBE) data for a relaxed Li2NiH4 crystal, as listed in Alexandria.

Cell: 3.2806 10.8219 3.2162 Å, 90.00 90.00 90.00°
With the nearest neighbours (Å) after each atom.
Element x y z (fractional)
Li  0.0000  0.1240  0.0000  8 H 2.09-2.31
Li  0.0000  0.8760  0.0000  8 H 2.09-2.31
Li  0.5000  0.3760  0.0000  8 H 2.09-2.31
Li  0.5000  0.6240  0.0000  8 H 2.09-2.31
Ni  0.0000  0.5000  0.5000  6 H 1.59-1.64
Ni  0.5000  0.0000  0.5000  6 H 1.59-1.64
H  0.0000  0.0000  0.5000  2 Ni 1.64
H  0.0000  0.3527  0.5000  1 Ni 1.59
H  0.0000  0.5000  0.0000  2 Ni 1.61
H  0.0000  0.6473  0.5000  1 Ni 1.59
H  0.5000  0.0000  0.0000  2 Ni 1.61
H  0.5000  0.1473  0.5000  1 Ni 1.59
H  0.5000  0.5000  0.5000  2 Ni 1.64
H  0.5000  0.8527  0.5000  1 Ni 1.59

Crystal system   orthorhombic
Offset from the most stable computed form   48 meV per atom
Symmetry   No. 65
Final energy   -3.55 eV/atom
Volume   8.2 Å³ per atom

=====

Entry 8:
First-principles (PBE) data for a relaxed LiNi2H3 crystal, as listed in Alexandria.

Cell: 5.3509 3.6689 8.0664 Å, 90.00 90.00 90.00°
With the nearest neighbours (Å) after each atom.
Element x y z (fractional)
Li  0.1230  0.2500  0.0782  6 H 1.86-2.07
Li  0.3770  0.7500  0.5782  6 H 1.86-2.07
Li  0.6230  0.2500  0.4218  6 H 1.86-2.07
Li  0.8770  0.7500  0.9218  6 H 1.86-2.07
Ni  0.1247  0.2500  0.4085  4 H 1.65-1.84
Ni  0.1436  0.2500  0.7393  5 H 1.68-1.84
Ni  0.3564  0.7500  0.2393  5 H 1.68-1.84
Ni  0.3753  0.7500  0.9085  4 H 1.65-1.84
Ni  0.6247  0.2500  0.0915  4 H 1.65-1.84
Ni  0.6436  0.2500  0.7607  5 H 1.68-1.84
Ni  0.8564  0.7500  0.2607  5 H 1.68-1.84
Ni  0.8753  0.7500  0.5915  4 H 1.65-1.84
H  0.1173  0.7500  0.3879  4 Ni 1.73-1.84
H  0.1332  0.7500  0.7542  4 Ni 1.80-1.90, 2 Li 1.93
H  0.1797  0.7500  0.0671  2 Ni 1.65-1.68
H  0.3203  0.2500  0.5671  2 Ni 1.65-1.68
H  0.3668  0.2500  0.2542  4 Ni 1.80-1.90, 2 Li 1.93
H  0.3827  0.2500  0.8879  4 Ni 1.73-1.84
H  0.6173  0.7500  0.1121  4 Ni 1.73-1.84
H  0.6332  0.7500  0.7458  4 Ni 1.80-1.90, 2 Li 1.93
H  0.6797  0.7500  0.4329  2 Ni 1.65-1.68
H  0.8203  0.2500  0.9329  2 Ni 1.65-1.68
H  0.8668  0.2500  0.2458  4 Ni 1.80-1.90, 2 Li 1.93
H  0.8827  0.2500  0.6121  4 Ni 1.73-1.84

Crystal system   orthorhombic
Offset from the most stable computed form   0 meV per atom
Symmetry   No. 62
Final energy   -4.11 eV/atom
Volume   6.6 Å³ per atom

=====

Entry 9:
First-principles (PBE) data for a relaxed LiNiH3 crystal, as listed in Alexandria.

Cell: 7.4844 7.4844 7.4844 Å, 155.16 155.16 35.41°
With the nearest neighbours (Å) after each atom.
Element x y z (fractional)
Li  0.1012  0.1012  0.0000  6 H 2.03-2.05
Li  0.8988  0.8988  0.0000  6 H 2.03-2.05
Ni  0.5000  0.5000  0.0000  4 H 1.62
Ni  0.7500  0.2500  0.5000  4 H 1.55
H  0.0120  0.5120  0.5000  2 Ni 1.62
H  0.1176  0.3384  0.7792  1 H 1.42, 1 Ni 1.55
H  0.4880  0.9880  0.5000  2 Ni 1.62
H  0.5592  0.3384  0.2208  1 H 1.42, 1 Ni 1.55
H  0.6616  0.4408  0.7792  1 H 1.42, 1 Ni 1.55
H  0.6616  0.8824  0.2208  1 H 1.42, 1 Ni 1.55

Crystal system   tetragonal
Symmetry   No. 119
Final energy   -3.52 eV/atom
Volume   7.4 Å³ per atom

=====

Entry 10:
First-principles (PBE) data for a relaxed Li3NiH crystal, as listed in Alexandria.

Cell: 4.5590 4.5590 4.5590 Å, 90.00 90.00 90.00°
With the nearest neighbours (Å) after each atom.
Element x y z (fractional)
Li  0.0000  0.0000  0.5000  2 Ni 2.28
Li  0.0000  0.5000  0.0000  2 Ni 2.28
Li  0.5000  0.0000  0.0000  2 Ni 2.28
Ni  0.0000  0.0000  0.0000  6 Li 2.28
H  0.5000  0.5000  0.5000  12 Li 3.22

Crystal system   cubic
Offset from the most stable computed form   593 meV per atom
Symmetry   No. 221
Final energy   -2.38 eV/atom
Volume   19.0 Å³ per atom

=====

Entry 11:
First-principles (PBE) data for a relaxed LiNiH3 crystal, as listed in Alexandria.

Cell: 2.5169 4.4931 8.5496 Å, 90.00 90.00 90.00°
With the nearest neighbours (Å) after each atom.
Element x y z (fractional)
Li  0.0000  0.0000  0.0000  4 H 1.72-1.85
Li  0.0000  0.5000  0.5000  4 H 1.72-1.85
Ni  0.5000  0.0000  0.6819  5 H 1.55-1.63
Ni  0.5000  0.5000  0.1819  5 H 1.55-1.63
H  0.0000  0.2276  0.6629  2 Ni 1.63
H  0.0000  0.2724  0.1629  2 Ni 1.63
H  0.0000  0.7276  0.1629  2 Ni 1.63
H  0.0000  0.7724  0.6629  2 Ni 1.63
H  0.5000  0.0000  0.8637  1 Ni 1.55, 2 Li 1.72
H  0.5000  0.5000  0.3637  1 Ni 1.55, 2 Li 1.72

Crystal system   orthorhombic
Symmetry   No. 38
Final energy   -3.56 eV/atom
Volume   9.7 Å³ per atom

=====

Entry 12:
First-principles (PBE) data for a relaxed LiNi3H4 crystal, as listed in Alexandria.

Cell: 3.7197 3.7197 7.4335 Å, 90.00 90.00 90.00°
With the nearest neighbours (Å) after each atom.
Element x y z (fractional)
Li  0.0000  0.0000  0.0000  6 H 1.86-2.00
Li  0.5000  0.5000  0.5000  6 H 1.86-2.00
Ni  0.0000  0.0000  0.5000  6 H 1.71-1.86
Ni  0.0000  0.5000  0.2500  6 H 1.86-1.87
Ni  0.0000  0.5000  0.7500  6 H 1.86-1.87
Ni  0.5000  0.0000  0.2500  6 H 1.86-1.87
Ni  0.5000  0.0000  0.7500  6 H 1.86-1.87
Ni  0.5000  0.5000  0.0000  6 H 1.71-1.86
H  0.0000  0.0000  0.2694  5 Ni 1.71-1.87
H  0.0000  0.0000  0.7306  5 Ni 1.71-1.87
H  0.0000  0.5000  0.0000  4 Ni 1.86, 2 Li 1.86
H  0.0000  0.5000  0.5000  4 Ni 1.86, 2 Li 1.86
H  0.5000  0.0000  0.0000  4 Ni 1.86, 2 Li 1.86
H  0.5000  0.0000  0.5000  4 Ni 1.86, 2 Li 1.86
H  0.5000  0.5000  0.2306  5 Ni 1.71-1.87
H  0.5000  0.5000  0.7694  5 Ni 1.71-1.87

Crystal system   tetragonal
Symmetry   No. 139
Final energy   -4.25 eV/atom
Volume   6.4 Å³ per atom